A relaxed structure of Tl6AsCl12. Source: Alexandria via LeMat-Bulk, functional PBE.

Energy relative to the elements, uncorrected (eV/atom): -0.75
Size of the total moment (μB per cell): 0.0
E_tot (eV per atom): -2.91

Unit cell a=9.028 b=9.028 c=9.028 alpha=101.11 beta=101.11 gamma=101.11
Atoms (fractional coordinates):
Cl (0.590, 0.396, 0.825)
Tl (0.341, 0.146, 0.582)
Cl (0.175, 0.410, 0.604)
Cl (0.252, 0.093, 0.982)
Tl (0.418, 0.659, 0.854)
Cl (0.907, 0.018, 0.748)
Cl (0.982, 0.252, 0.093)
Cl (0.410, 0.604, 0.175)
Tl (0.582, 0.341, 0.146)
Cl (0.604, 0.175, 0.410)
Tl (0.146, 0.582, 0.341)
Cl (0.748, 0.907, 0.018)
Cl (0.018, 0.748, 0.907)
Tl (0.854, 0.418, 0.659)
Cl (0.396, 0.825, 0.590)
Cl (0.825, 0.590, 0.396)
As (0.000, 0.000, 0.000)
Cl (0.093, 0.982, 0.252)
Tl (0.659, 0.854, 0.418)